Record 1
DFT (PBE) results for CdHg2Au after structural relaxation.

Geometry as CIF:
```
data_CdHg2Au
_symmetry_space_group_name_H-M 'F m -3 m'
_symmetry_Int_Tables_number 225
_symmetry_space_group_name_Hall '-F 4 2 3'
_cell_length_a 7.031
_cell_length_b 7.031
_cell_length_c 7.031
_cell_angle_alpha 90.00
_cell_angle_beta 90.00
_cell_angle_gamma 90.00
loop_
_atom_site_label
_atom_site_type_symbol
_atom_site_fract_x
_atom_site_fract_y
_atom_site_fract_z
Cd1 Cd 0.000 0.000 0.000
Hg1 Hg 0.250 0.250 0.250
Au1 Au 0.000 0.000 0.500
```

Computed properties:
energy relative to the elements: 0.09 eV per atom
mass density: 13.578 g/cm3
DFT total energy: -1.11 eV per atom
total magnetization: 0.00 μB per formula unit
E above lowest polymorph: 0.099 eV per atom


Record 2
DFT (PBE) results for Sc2InPb after structural relaxation.

Geometry as CIF:
```
data_Sc2InPb
_symmetry_space_group_name_H-M 'R -3 m'
_symmetry_Int_Tables_number 166
_symmetry_space_group_name_Hall '-R 3 2"'
_cell_length_a 3.3402
_cell_length_b 3.3402
_cell_length_c 33.2956
_cell_angle_alpha 90.00
_cell_angle_beta 90.00
_cell_angle_gamma 120.00
loop_
_atom_site_label
_atom_site_type_symbol
_atom_site_fract_x
_atom_site_fract_y
_atom_site_fract_z
Sc1 Sc 0.0000 0.0000 0.0901
In1 In 0.0000 0.0000 0.0000
Pb1 Pb 0.0000 0.0000 0.5000
```

Computed properties:
energy relative to the elements: 0.05 eV per atom
mass density: 6.379 g/cm3
DFT total energy: -4.73 eV per atom
total magnetization: 0.00 μB per formula unit


Record 3
DFT (PBE) results for PuMgAlGe after structural relaxation.

Geometry as CIF:
```
data_PuMgAlGe
_symmetry_space_group_name_H-M 'F -4 3 m'
_symmetry_Int_Tables_number 216
_symmetry_space_group_name_Hall 'F -4 2 3'
_cell_length_a 6.921
_cell_length_b 6.921
_cell_length_c 6.921
_cell_angle_alpha 90.00
_cell_angle_beta 90.00
_cell_angle_gamma 90.00
loop_
_atom_site_label
_atom_site_type_symbol
_atom_site_fract_x
_atom_site_fract_y
_atom_site_fract_z
Pu1 Pu 0.000 0.000 0.000
Mg1 Mg 0.000 0.000 0.500
Al1 Al 0.250 0.250 0.250
Ge1 Ge 0.250 0.250 0.750
```

Computed properties:
energy relative to the elements: -0.17 eV per atom
mass density: 7.371 g/cm3
DFT total energy: -6.24 eV per atom
total magnetization: 5.17 μB per formula unit


Record 4
DFT (PBE) results for Th4Sn2Os after structural relaxation.

Geometry as CIF:
```
data_Th4Sn2Os
_symmetry_space_group_name_H-M 'P 1 21/m 1'
_symmetry_Int_Tables_number 11
_cell_length_a 6.221
_cell_length_b 6.658
_cell_length_c 9.996
_cell_angle_alpha 90.00
_cell_angle_beta 99.07
_cell_angle_gamma 90.00
loop_
_symmetry_equiv_pos_as_xyz
'x,y,z'
'-x,-y,-z'
'-x,y+1/2,-z'
'x,-y+1/2,z'
loop_
_atom_site_label
_atom_site_type_symbol
_atom_site_fract_x
_atom_site_fract_y
_atom_site_fract_z
Th1 Th 0.166 0.250 0.094
Th2 Th 0.253 0.507 0.734
Th3 Th 0.299 0.750 0.411
Sn1 Sn 0.188 0.250 0.435
Sn2 Sn 0.387 0.750 0.031
Os1 Os 0.046 0.750 0.170
```

Computed properties:
energy relative to the elements: -0.34 eV per atom
mass density: 11.014 g/cm3
DFT total energy: -7.33 eV per atom
total magnetization: 0.00 μB per formula unit


Record 5
DFT (PBE) results for Dy2IrO6 after structural relaxation.

Geometry as CIF:
```
data_Dy2IrO6
_symmetry_space_group_name_H-M 'P 1 21/c 1'
_symmetry_Int_Tables_number 14
_cell_length_a 5.399
_cell_length_b 5.806
_cell_length_c 8.959
_cell_angle_alpha 90.00
_cell_angle_beta 120.25
_cell_angle_gamma 90.00
loop_
_symmetry_equiv_pos_as_xyz
'x,y,z'
'-x,-y,-z'
'-x,y+1/2,-z+1/2'
'x,-y+1/2,z+1/2'
loop_
_atom_site_label
_atom_site_type_symbol
_atom_site_fract_x
_atom_site_fract_y
_atom_site_fract_z
Dy1 Dy 0.196 0.088 0.238
Ir1 Ir 0.500 0.000 0.000
O1 O 0.151 0.171 0.947
O2 O 0.260 0.726 0.908
O3 O 0.433 0.075 0.772
```

Computed properties:
mass density: 8.394 g/cm3
formation energy (no corrections): -2.24 eV/atom
DFT total energy: -7.55 eV per atom
total magnetization: 2.69 μB per formula unit


Record 6
DFT (PBE) results for Tb3Nd6Ho2Tl after structural relaxation.

Geometry as CIF:
```
data_Tb3Nd6Ho2Tl
_symmetry_space_group_name_H-M 'C 1 2/m 1'
_symmetry_Int_Tables_number 12
_cell_length_a 6.220
_cell_length_b 10.809
_cell_length_c 11.828
_cell_angle_alpha 90.00
_cell_angle_beta 100.29
_cell_angle_gamma 90.00
loop_
_symmetry_equiv_pos_as_xyz
'x,y,z'
'-x,-y,-z'
'-x,y,-z'
'x,-y,z'
'x+1/2,y+1/2,z'
'-x+1/2,-y+1/2,-z'
'-x+1/2,y+1/2,-z'
'x+1/2,-y+1/2,z'
loop_
_atom_site_label
_atom_site_type_symbol
_atom_site_fract_x
_atom_site_fract_y
_atom_site_fract_z
Tb1 Tb 0.000 0.000 0.000
Tb2 Tb 0.000 0.332 0.000
Nd1 Nd 0.246 0.336 0.747
Nd2 Nd 0.246 0.500 0.251
Ho1 Ho 0.000 0.166 0.500
Tl1 Tl 0.000 0.500 0.500
```

Computed properties:
energy relative to the elements: -0.01 eV per atom
mass density: 7.965 g/cm3
DFT total energy: -4.51 eV per atom
total magnetization: 0.00 μB per formula unit


Record 7
DFT (PBE) results for Cr2InS after structural relaxation.

Geometry as CIF:
```
data_Cr2InS
_symmetry_space_group_name_H-M 'I -4 2 d'
_symmetry_Int_Tables_number 122
_symmetry_space_group_name_Hall 'I -4 2bw'
_cell_length_a 6.781
_cell_length_b 6.781
_cell_length_c 5.995
_cell_angle_alpha 90.00
_cell_angle_beta 90.00
_cell_angle_gamma 90.00
loop_
_atom_site_label
_atom_site_type_symbol
_atom_site_fract_x
_atom_site_fract_y
_atom_site_fract_z
Cr1 Cr 0.175 0.250 0.125
In1 In 0.000 0.000 0.500
S1 S 0.000 0.000 0.000
```

Computed properties:
mass density: 6.044 g/cm3
formation energy (no corrections): 0.25 eV/atom
DFT total energy: -6.28 eV per atom
total magnetization: 4.93 μB per formula unit
E above lowest polymorph: 0.000 eV per atom


Record 8
DFT (PBE) results for V4Ga2H after structural relaxation.

Geometry as CIF:
```
data_V4Ga2H
_symmetry_space_group_name_H-M 'I 4/m m m'
_symmetry_Int_Tables_number 139
_symmetry_space_group_name_Hall '-I 4 2'
_cell_length_a 3.631
_cell_length_b 3.631
_cell_length_c 13.434
_cell_angle_alpha 90.00
_cell_angle_beta 90.00
_cell_angle_gamma 90.00
loop_
_atom_site_label
_atom_site_type_symbol
_atom_site_fract_x
_atom_site_fract_y
_atom_site_fract_z
V1 V 0.000 0.000 0.166
V2 V 0.000 0.500 0.000
Ga1 Ga 0.000 0.000 0.356
H1 H 0.000 0.000 0.000
```

Computed properties:
mass density: 6.456 g/cm3
DFT total energy: -6.69 eV per atom
total magnetization: 0.00 μB per formula unit
E above lowest polymorph: 0.000 eV per atom


Record 9
DFT (PBE) results for Ho4Bi3C2 after structural relaxation.

Geometry as CIF:
```
data_Ho4Bi3C2
_symmetry_space_group_name_H-M 'C 1 2/c 1'
_symmetry_Int_Tables_number 15
_cell_length_a 14.525
_cell_length_b 10.164
_cell_length_c 6.543
_cell_angle_alpha 90.00
_cell_angle_beta 97.63
_cell_angle_gamma 90.00
loop_
_symmetry_equiv_pos_as_xyz
'x,y,z'
'-x,-y,-z'
'-x,y,-z+1/2'
'x,-y,z+1/2'
'x+1/2,y+1/2,z'
'-x+1/2,-y+1/2,-z'
'-x+1/2,y+1/2,-z+1/2'
'x+1/2,-y+1/2,z+1/2'
loop_
_atom_site_label
_atom_site_type_symbol
_atom_site_fract_x
_atom_site_fract_y
_atom_site_fract_z
Ho1 Ho 0.138 0.205 0.490
Ho2 Ho 0.194 0.419 0.072
Bi1 Bi 0.000 0.408 0.750
Bi2 Bi 0.089 0.136 0.978
C1 C 0.221 0.387 0.421
```

Computed properties:
energy relative to the elements: -0.29 eV per atom
mass density: 9.094 g/cm3
DFT total energy: -5.67 eV per atom
total magnetization: 0.00 μB per formula unit


Record 10
DFT (PBE) results for Ca2RuRhW after structural relaxation.

Geometry as CIF:
```
data_Ca2RuRhW
_symmetry_space_group_name_H-M 'P 4/m m m'
_symmetry_Int_Tables_number 123
_symmetry_space_group_name_Hall '-P 4 2'
_cell_length_a 5.256
_cell_length_b 5.256
_cell_length_c 4.640
_cell_angle_alpha 90.00
_cell_angle_beta 90.00
_cell_angle_gamma 90.00
loop_
_atom_site_label
_atom_site_type_symbol
_atom_site_fract_x
_atom_site_fract_y
_atom_site_fract_z
Ca1 Ca 0.000 0.500 0.000
Ru1 Ru 0.000 0.000 0.000
Rh1 Rh 0.000 0.000 0.500
W1 W 0.500 0.500 0.500
```

Computed properties:
energy relative to the elements: 1.35 eV per atom
mass density: 6.062 g/cm3
DFT total energy: -5.36 eV per atom
total magnetization: 3.86 μB per formula unit